# Zr2Cd2Pb, relaxed, DFT PBE-GGA
# - energy (eV per formula unit) = -22.003
# - total magnetization (μB per cell) = 0.000
data_Zr2Cd2Pb
_cell_length_a 8.388
_cell_length_b 8.388
_cell_length_c 3.386
_cell_angle_alpha 90.00
_cell_angle_beta 90.00
_cell_angle_gamma 90.00
_symmetry_space_group_name_H-M 'P 4/m b m'
_symmetry_Int_Tables_number 127
_symmetry_space_group_name_Hall '-P 4 2ab'
loop_
_atom_site_label
_atom_site_fract_x
_atom_site_fract_y
_atom_site_fract_z
Zr1 0.175 0.325 0.000
Cd1 0.122 0.622 0.500
Pb1 0.000 0.000 0.500